Entry 1:
Crystalline CaSb2P2O9 at its relaxed geometry. Source: the Alexandria database, functional PBE.

The value obtained for the formation energy (no corrections) is -2066 meV/atom. The calculation puts the energy at -6.758 eV/atom. The space group is No. 62.

abc: 7.010 7.127 15.821
angles: 90.00 90.00 90.00
Fractional positions:
O: 0.250 0.578 0.972
P: 0.250 0.103 0.420
O: 0.750 0.078 0.528
P: 0.250 0.583 0.307
O: 0.936 0.403 0.639
Sb: 0.000 0.000 0.000
O: 0.750 0.722 0.516
O: 0.250 0.748 0.742
O: 0.064 0.903 0.861
O: 0.926 0.883 0.639
Ca: 0.750 0.915 0.778
Sb: 0.000 0.500 0.500
O: 0.926 0.617 0.139
Sb: 0.750 0.396 0.884
Sb: 0.250 0.896 0.616
O: 0.574 0.617 0.139
O: 0.574 0.883 0.639
Ca: 0.250 0.085 0.222
P: 0.750 0.083 0.193
P: 0.250 0.397 0.920
O: 0.074 0.117 0.361
O: 0.936 0.097 0.139
O: 0.750 0.252 0.258
O: 0.250 0.619 0.576
O: 0.750 0.248 0.758
O: 0.250 0.278 0.484
O: 0.436 0.903 0.861
Sb: 0.500 0.500 0.500
O: 0.250 0.922 0.472
Ca: 0.250 0.415 0.722
O: 0.564 0.097 0.139
O: 0.564 0.403 0.639
O: 0.250 0.752 0.242
P: 0.750 0.897 0.580
O: 0.750 0.595 0.747
O: 0.750 0.422 0.028
O: 0.436 0.597 0.361
P: 0.250 0.917 0.807
O: 0.250 0.222 0.984
O: 0.750 0.905 0.247
O: 0.426 0.117 0.361
O: 0.074 0.383 0.861
Sb: 0.500 0.000 0.000
O: 0.064 0.597 0.361
P: 0.750 0.417 0.693
O: 0.250 0.405 0.253
O: 0.250 0.095 0.753
P: 0.750 0.603 0.080
O: 0.426 0.383 0.861
Sb: 0.250 0.604 0.116
Ca: 0.750 0.585 0.278
O: 0.750 0.778 0.016
O: 0.750 0.119 0.924
O: 0.250 0.881 0.076
Sb: 0.750 0.104 0.384
O: 0.750 0.381 0.424

---

Entry 2:
Crystalline CaScPO2 at its relaxed geometry. Source: the Alexandria database, functional PBE.

The value obtained for the formation energy (no corrections) is -716 meV/atom. The calculation puts the energy at -5.448 eV/atom. Its relative energy among the computed polymorphs is 4.62 eV/f.u. The space group is No. 123.

abc: 4.167 4.167 5.465
angles: 90.00 90.00 90.00
Fractional positions:
P: 0.000 0.000 0.500
Ca: 0.000 0.000 0.000
Sc: 0.500 0.500 0.500
O: 0.500 0.000 0.000
O: 0.000 0.500 0.000